The following is a meta-GGA SCAN calculation of a crystal of Li2SiWF relaxed with PBEsol, from the Alexandria database.

Properties
Formation energy from raw total energies (eV/atom): 0.789
E (eV/cell): -84.08

a b c (Å): 5.046 5.046 3.835
angles (deg): 90.00 90.00 90.00
Space group P4/mmm (No. 123)
Unique sites:
1 Li 0.000 0.500 0.000 (multiplicity 2)
2 Si 0.000 0.000 0.500 (multiplicity 1)
3 W 0.500 0.500 0.000 (multiplicity 1)
4 F 0.500 0.500 0.500 (multiplicity 1)